The following is a PBE calculation of a relaxed structure of YGeRu2, from Alexandria.

Cell lengths 4.609, 5.605, 7.036 Å; angles 97.65, 107.55, 113.42 degrees
Fractional positions:
Y  0.085  0.419  0.257
Y  0.915  0.581  0.743
Ge  0.309  0.232  0.888
Ge  0.691  0.768  0.112
Ru  0.280  0.074  0.511
Ru  0.306  0.972  0.149
Ru  0.694  0.028  0.851
Ru  0.720  0.926  0.489

Output
space group: P-1
total magnetization: 0.00 μB per atom
uncorrected energy: -7.765 eV per atom
formation energy from the elements: -0.357 eV per atom